VASP calculation (PBE with a Hubbard U) on an optimized crystal structure of FeNiSbO2.

Results
Spin magnetization = 0.827 μB per atom
Calculated total energy = -4.175 eV/atom

Cell and atoms, written as POSCAR:
```
FeNiSbO2
1.0
4.003 0.000 0.000
0.000 4.003 0.000
0.000 0.000 4.999
Fe Ni Sb O
1 1 1 2
direct
0.000 0.000 0.000
0.500 0.500 0.000
0.500 0.500 0.500
0.000 0.500 0.500
0.500 0.000 0.500
```